--- one ---
NdSm6Y4, relaxed, DFT PBE; space-group type = No. 121
1.0
-8.354 5.280 0.856
3.886 -7.555 -5.121
4.782 -7.640 4.144
Sm Y Nd
6 4 1
direct
0.500 0.000 0.500
0.000 0.454 0.810
0.000 0.810 0.454
0.357 0.546 0.546
0.500 0.500 0.000
0.643 0.190 0.190
0.627 0.991 0.991
0.000 0.009 0.637
0.000 0.637 0.009
0.373 0.363 0.363
0.000 0.000 0.000

--- two ---
NdSm6Y4, relaxed, DFT PBE; space-group type = No. 121
1.0
-1.598 2.356 -6.064
-6.331 -1.998 0.892
2.052 7.425 6.044
Sm Y Nd
6 4 1
direct
0.000 0.500 0.000
0.513 0.513 0.650
0.487 0.863 0.350
0.863 0.487 0.350
0.137 0.137 0.650
0.500 0.000 0.000
0.051 0.694 0.745
0.306 0.306 0.255
0.949 0.949 0.255
0.694 0.051 0.745
0.500 0.500 0.000

Stability order, top to bottom: one, two